1.
Material: KTaHg
Method: DFT, GGA-PBE
State: relaxed

Cell lengths 10.353, 5.418, 3.016 Å; angles 103.18, 93.30, 74.77 degrees
Fractional positions:
1 Hg 0.407 0.685 0.322
2 Hg 0.851 0.465 0.317
3 K 0.003 0.888 0.822
4 K 0.255 0.262 0.818
5 Ta 0.627 0.855 0.990
6 Ta 0.630 0.295 0.649

- Energy: -3.93 eV per atom
- Formation energy from the elements: 0.4834 eV per atom

2.
Material: Ta6MnNb12
Method: DFT, GGA-PBE
State: relaxed

Cell lengths 7.076, 7.076, 7.076 Å; angles 88.76, 88.76, 88.76 degrees
Fractional positions:
1 Ta 0.746 0.263 0.112
2 Ta 0.737 0.888 0.254
3 Ta 0.888 0.254 0.737
4 Ta 0.254 0.737 0.888
5 Ta 0.263 0.112 0.746
6 Ta 0.112 0.746 0.263
7 Mn 0.000 0.000 0.000
8 Nb 0.855 0.623 0.940
9 Nb 0.480 0.579 0.188
10 Nb 0.421 0.812 0.520
11 Nb 0.145 0.377 0.060
12 Nb 0.623 0.940 0.855
13 Nb 0.188 0.480 0.579
14 Nb 0.812 0.520 0.421
15 Nb 0.060 0.145 0.377
16 Nb 0.940 0.855 0.623
17 Nb 0.377 0.060 0.145
18 Nb 0.520 0.421 0.812
19 Nb 0.579 0.188 0.480

- Energy: -10.45 eV per atom
- Formation energy from the elements: 0.1305 eV per atom

3.
Material: HgSb4P
Method: DFT, GGA-PBE
State: relaxed

Cell lengths 6.179, 6.179, 6.179 Å; angles 60.00, 60.00, 60.00 degrees
Fractional positions:
1 Sb 0.374 0.374 0.374
2 Sb 0.877 0.374 0.374
3 Sb 0.374 0.877 0.374
4 Sb 0.374 0.374 0.877
5 Hg 0.750 0.750 0.750
6 P 0.000 0.000 0.000

- Energy: -3.09 eV per atom
- E_form (uncorrected): 0.607 eV per atom

4.
Material: AcLaZnCu
Method: DFT, GGA-PBE
State: relaxed

Cell lengths 5.364, 5.364, 5.364 Å; angles 60.00, 60.00, 60.00 degrees
Fractional positions:
1 La 0.250 0.250 0.250
2 Ac 0.750 0.750 0.750
3 Zn 0.000 0.000 0.000
4 Cu 0.500 0.500 0.500

- Energy: -3.78 eV per atom
- Formation energy from the elements: -0.1762 eV per atom

5.
Material: MgU2Ga9
Method: DFT, GGA-PBE
State: relaxed

Cell lengths 4.247, 4.247, 12.620 Å; angles 90.00, 90.00, 90.00 degrees
Each line ends with the local moment (μB).
Fractional positions:
1 Ga 0.000 0.500 0.500  0.02
2 Ga 0.500 0.000 0.159  0.01
3 Ga 0.500 0.500 0.000  0.00
4 Ga 0.000 0.500 0.841  0.01
5 Ga 0.500 0.000 0.841  0.01
6 Ga 0.500 0.500 0.337  0.04
7 Ga 0.000 0.500 0.159  0.01
8 Ga 0.500 0.500 0.663  0.04
9 Ga 0.500 0.000 0.500  0.02
10 U 0.000 0.000 0.329  2.09
11 U 0.000 0.000 0.671  2.09
12 Mg 0.000 0.000 0.000  -0.01

- Energy: -4.46 eV per atom
- Formation energy from the elements: -0.1710 eV per atom

6.
Material: Ba2Cd3Hg12Pb
Method: DFT, GGA-PBE
State: relaxed

Cell lengths 13.388, 13.388, 13.388 Å; angles 30.55, 30.55, 30.55 degrees
Fractional positions:
1 Hg 0.844 0.406 0.406
2 Hg 0.406 0.406 0.844
3 Hg 0.874 0.421 0.874
4 Hg 0.579 0.126 0.126
5 Hg 0.594 0.156 0.594
6 Hg 0.421 0.874 0.874
7 Hg 0.874 0.874 0.421
8 Hg 0.156 0.594 0.594
9 Hg 0.594 0.594 0.156
10 Hg 0.126 0.126 0.579
11 Hg 0.406 0.844 0.406
12 Hg 0.126 0.579 0.126
13 Ba 0.364 0.364 0.364
14 Ba 0.636 0.636 0.636
15 Cd 0.000 0.000 0.500
16 Cd 0.500 0.000 0.000
17 Cd 0.000 0.500 0.000
18 Pb 0.000 0.000 0.000

- Energy: -0.91 eV per atom
- Formation energy from the elements: -0.1393 eV per atom